1.
Here is crystalline HfAsW2 at its relaxed geometry from Alexandria. Energies are from PBE-GGA.

Cell lengths 6.0526, 6.0526, 6.0526 Å; angles 100.20, 100.20, 130.23 degrees
Last column: nearest neighbours and their distance in Å.
Atoms (fractional coordinates):
Hf  0.0000  0.0000  0.0000  2 As 2.55
Hf  0.7500  0.2500  0.5000  2 As 2.55
As  0.2500  0.7500  0.5000  4 W 2.47, 2 Hf 2.55
As  0.5000  0.5000  0.0000  4 W 2.47, 2 Hf 2.55
W  0.1958  0.6250  0.0708  2 As 2.47
W  0.3750  0.4458  0.5708  2 As 2.47
W  0.5542  0.1250  0.9292  2 As 2.47
W  0.8750  0.8042  0.4292  2 As 2.47

Results
DOS(E_F) (states/eV per atom): 0.85
Energy (eV per atom): -9.562

2.
Here is crystalline Tl2SeBr at its relaxed geometry from Alexandria. Energies are from PBE-GGA.

Cell lengths 4.5024, 4.5024, 7.8346 Å; angles 105.82, 105.82, 60.22 degrees
Last column: nearest neighbours and their distance in Å.
Atoms (fractional coordinates):
Tl  0.2373  0.2373  0.2211  3 Se 3.07-3.08, 3 Br 3.28-3.35
Tl  0.7627  0.7627  0.7789  3 Se 3.07-3.08, 3 Br 3.28-3.35
Se  0.5000  0.5000  0.0000  6 Tl 3.07-3.08
Br  0.0000  0.0000  0.5000  6 Tl 3.28-3.35

Results
DOS(E_F) (states/eV per atom): 0.74
Formation energy from raw total energies (eV per atom): -0.47
Distance to the lowest polymorph of the same formula (meV/atom): 12
Energy (eV per atom): -2.947

3.
Here is crystalline Na4B7C at its relaxed geometry from Alexandria. Energies are from PBE-GGA.

Cell lengths 9.1806, 9.1806, 10.6658 Å; angles 106.87, 106.87, 17.89 degrees
Last column: nearest neighbours and their distance in Å.
Atoms (fractional coordinates):
Na  0.0000  0.0000  0.0000  10 B 2.70-2.79, 2 C 2.81, 6 Na 2.86-3.02
Na  0.0000  0.0000  0.5000  12 B 2.72-2.92, 6 Na 2.86-3.03
Na  0.2487  0.2487  0.1240  9 B 2.70-2.79, 3 C 2.75-2.77, 6 Na 2.86-3.02
Na  0.2504  0.2504  0.6261  12 B 2.72-2.91, 6 Na 2.86-3.04
Na  0.4986  0.4986  0.7499  10 B 2.71-2.86, 2 C 2.77, 6 Na 2.86-3.03
Na  0.5014  0.5014  0.2501  10 B 2.71-2.86, 2 C 2.77, 6 Na 2.86-3.03
Na  0.7496  0.7496  0.3739  12 B 2.72-2.91, 6 Na 2.86-3.04
Na  0.7513  0.7513  0.8760  9 B 2.70-2.79, 3 C 2.75-2.77, 6 Na 2.86-3.02
B  0.1245  0.1245  0.2275  3 B 1.74-1.75
B  0.1249  0.1249  0.3918  3 B 1.75-1.76
B  0.1253  0.1253  0.7458  1 C 1.60, 2 B 1.76
B  0.3747  0.3747  0.0321  2 C 1.62, 1 B 1.78
B  0.3747  0.3747  0.3501  3 B 1.72-1.76
B  0.3748  0.3748  0.5113  3 B 1.72-1.76
B  0.3755  0.3755  0.8657  3 B 1.74-1.78
B  0.6245  0.6245  0.1343  3 B 1.74-1.78
B  0.6252  0.6252  0.4887  3 B 1.72-1.76
B  0.6253  0.6253  0.6499  3 B 1.72-1.76
B  0.6253  0.6253  0.9679  2 C 1.62, 1 B 1.78
B  0.8747  0.8747  0.2542  1 C 1.60, 2 B 1.76
B  0.8751  0.8751  0.6082  3 B 1.75-1.76
B  0.8755  0.8755  0.7725  3 B 1.74-1.75
C  0.1257  0.1257  0.8961  3 B 1.60-1.62
C  0.8743  0.8743  0.1039  3 B 1.60-1.62

Results
DOS(E_F) (states/eV per atom): 0.30
Distance to the lowest polymorph of the same formula (meV/atom): 12
Energy (eV per atom): -4.869